PmSm3Te4: relaxed, GGA-PBE.

Cell lengths 4.3725, 4.3725, 30.1355 Å; angles 90.00, 90.00, 120.00 degrees
Element x y z (fractional)
Pm (0.3333, 0.6667, 0.2500)
Pm (0.6667, 0.3333, 0.7500)
Sm (0.0000, 0.0000, 0.0000)
Sm (0.0000, 0.0000, 0.5000)
Sm (0.3333, 0.6667, 0.6235)
Sm (0.3333, 0.6667, 0.8765)
Sm (0.6667, 0.3333, 0.1235)
Sm (0.6667, 0.3333, 0.3765)
Te (0.0000, 0.0000, 0.1857)
Te (0.0000, 0.0000, 0.3143)
Te (0.0000, 0.0000, 0.6857)
Te (0.0000, 0.0000, 0.8143)
Te (0.3333, 0.6667, 0.0620)
Te (0.3333, 0.6667, 0.4380)
Te (0.6667, 0.3333, 0.5620)
Te (0.6667, 0.3333, 0.9380)

Values from the calculation:
E	-42.51	eV per formula unit
ΔE to the lowest computed polymorph	0.009	eV per atom
formation energy without anion corrections	-1379.3	meV per atom



Pm2Sm3Te6: relaxed, GGA-PBE.

Cell lengths 7.6597, 7.6597, 7.6625 Å; angles 99.68, 99.68, 119.76 degrees
Element x y z (fractional)
Pm (0.1644, 0.8356, 0.0000)
Pm (0.8356, 0.1644, 0.0000)
Sm (0.0000, 0.0000, 0.5000)
Sm (0.3307, 0.6693, 0.5000)
Sm (0.6693, 0.3307, 0.5000)
Te (0.0964, 0.4194, 0.7558)
Te (0.2598, 0.2598, 0.2461)
Te (0.4194, 0.0964, 0.7558)
Te (0.5806, 0.9036, 0.2442)
Te (0.7402, 0.7402, 0.7539)
Te (0.9036, 0.5806, 0.2442)

Values from the calculation:
E	-58.57	eV per formula unit
formation energy without anion corrections	-1460.2	meV per atom



PmSmTe: relaxed, GGA-PBE.

Cell lengths 4.0400, 14.3392, 6.3298 Å; angles 90.00, 90.00, 90.00 degrees
Element x y z (fractional)
Pm (0.0000, 0.0000, 0.0000)
Pm (0.0000, 0.0000, 0.5000)
Pm (0.5000, 0.5000, 0.0000)
Pm (0.5000, 0.5000, 0.5000)
Sm (0.0000, 0.3053, 0.2500)
Sm (0.0000, 0.6947, 0.7500)
Sm (0.5000, 0.1947, 0.7500)
Sm (0.5000, 0.8053, 0.2500)
Te (0.0000, 0.3611, 0.7500)
Te (0.0000, 0.6389, 0.2500)
Te (0.5000, 0.1389, 0.2500)
Te (0.5000, 0.8611, 0.7500)

Values from the calculation:
E	-15.40	eV per formula unit
ΔE to the lowest computed polymorph	0.000	eV per atom
formation energy without anion corrections	-928.3	meV per atom



PmSmTe4: relaxed, GGA-PBE.

Cell lengths 9.4937, 9.4937, 9.4937 Å; angles 134.88, 134.88, 65.71 degrees
Element x y z (fractional)
Pm (0.3750, 0.6250, 0.7500)
Pm (0.6250, 0.3750, 0.2500)
Sm (0.1250, 0.8750, 0.2500)
Sm (0.8750, 0.1250, 0.7500)
Te (0.0000, 0.2490, 0.2490)
Te (0.0000, 0.7510, 0.7510)
Te (0.2490, 0.0000, 0.7490)
Te (0.2490, 0.5000, 0.2490)
Te (0.5000, 0.2490, 0.7490)
Te (0.5000, 0.7510, 0.2510)
Te (0.7510, 0.0000, 0.2510)
Te (0.7510, 0.5000, 0.7510)

Values from the calculation:
E	-28.21	eV per formula unit
formation energy without anion corrections	-1028.9	meV per atom



PmSmTe: relaxed, GGA-PBE.

Cell lengths 3.9661, 3.9661, 11.8095 Å; angles 90.00, 90.00, 90.00 degrees
Element x y z (fractional)
Pm (0.0000, 0.0000, 0.0000)
Pm (0.5000, 0.5000, 0.5000)
Sm (0.0000, 0.0000, 0.6942)
Sm (0.5000, 0.5000, 0.1942)
Te (0.0000, 0.0000, 0.3451)
Te (0.5000, 0.5000, 0.8451)

Values from the calculation:
E	-14.97	eV per formula unit
ΔE to the lowest computed polymorph	0.143	eV per atom
formation energy without anion corrections	-785.5	meV per atom



PmSm3Te6: relaxed, GGA-PBE.

Cell lengths 12.6542, 4.4382, 13.0286 Å; angles 90.00, 109.25, 90.00 degrees
Element x y z (fractional)
Pm (0.0445, 0.2500, 0.1940)
Pm (0.9555, 0.7500, 0.8060)
Sm (0.1555, 0.2500, 0.5801)
Sm (0.3173, 0.7500, 0.9976)
Sm (0.4305, 0.2500, 0.3328)
Sm (0.5695, 0.7500, 0.6672)
Sm (0.6827, 0.2500, 0.0024)
Sm (0.8445, 0.7500, 0.4199)
Te (0.0850, 0.7500, 0.3985)
Te (0.1118, 0.2500, 0.9672)
Te (0.1910, 0.7500, 0.7505)
Te (0.2507, 0.7500, 0.2197)
Te (0.3940, 0.2500, 0.5622)
Te (0.4851, 0.2500, 0.1184)
Te (0.5149, 0.7500, 0.8816)
Te (0.6060, 0.7500, 0.4378)
Te (0.7492, 0.2500, 0.7803)
Te (0.8090, 0.2500, 0.2495)
Te (0.8882, 0.7500, 0.0328)
Te (0.9150, 0.2500, 0.6015)

Values from the calculation:
E	-51.92	eV per formula unit
ΔE to the lowest computed polymorph	0.000	eV per atom
formation energy without anion corrections	-1416.3	meV per atom



Pm6SmTe8: relaxed, GGA-PBE.

Cell lengths 8.8952, 8.8952, 8.8952 Å; angles 60.00, 60.00, 60.00 degrees
Element x y z (fractional)
Pm (0.0000, 0.0000, 0.5000)
Pm (0.0000, 0.5000, 0.0000)
Pm (0.0000, 0.5000, 0.5000)
Pm (0.5000, 0.0000, 0.0000)
Pm (0.5000, 0.0000, 0.5000)
Pm (0.5000, 0.5000, 0.0000)
Sm (0.0000, 0.0000, 0.0000)
Te (0.2500, 0.2500, 0.2500)
Te (0.2549, 0.2549, 0.7451)
Te (0.2549, 0.7451, 0.2549)
Te (0.2549, 0.7451, 0.7451)
Te (0.7451, 0.2549, 0.2549)
Te (0.7451, 0.2549, 0.7451)
Te (0.7451, 0.7451, 0.2549)
Te (0.7500, 0.7500, 0.7500)

Values from the calculation:
E	-80.11	eV per formula unit
formation energy without anion corrections	-1450.2	meV per atom



Pm5SmTe6: relaxed, GGA-PBE.

Cell lengths 7.7493, 7.7493, 7.7173 Å; angles 99.65, 99.65, 120.26 degrees
Element x y z (fractional)
Pm (0.0000, 0.0000, 0.0000)
Pm (0.1669, 0.8331, 0.5000)
Pm (0.3322, 0.6679, 0.0000)
Pm (0.6679, 0.3322, 0.0000)
Pm (0.8331, 0.1669, 0.5000)
Sm (0.5000, 0.5000, 0.5000)
Te (0.0850, 0.4169, 0.2509)
Te (0.2513, 0.2513, 0.7499)
Te (0.4169, 0.0850, 0.2509)
Te (0.5831, 0.9150, 0.7491)
Te (0.7487, 0.7487, 0.2501)
Te (0.9150, 0.5831, 0.7491)

Values from the calculation:
E	-64.19	eV per formula unit
formation energy without anion corrections	-1405.3	meV per atom



PmSm2Te: relaxed, GGA-PBE.

Cell lengths 3.9434, 3.9434, 8.0123 Å; angles 90.00, 90.00, 90.00 degrees
Element x y z (fractional)
Pm (0.0000, 0.0000, 0.0000)
Sm (0.5000, 0.5000, 0.2805)
Sm (0.5000, 0.5000, 0.7195)
Te (0.0000, 0.0000, 0.5000)

Values from the calculation:
E	-19.65	eV per formula unit
ΔE to the lowest computed polymorph	0.103	eV per atom
formation energy without anion corrections	-580.1	meV per atom



Pm3Sm2ThTe6: relaxed, GGA-PBE.

Cell lengths 9.9387, 9.9387, 8.9450 Å; angles 102.26, 102.26, 25.87 degrees
Element x y z (fractional)
Pm (0.0000, 0.0000, 0.0000)
Pm (0.3354, 0.3354, 0.6656)
Pm (0.6646, 0.6646, 0.3344)
Sm (0.3353, 0.3353, 0.1697)
Sm (0.6647, 0.6647, 0.8303)
Th (0.0000, 0.0000, 0.5000)
Te (0.1683, 0.1683, 0.0825)
Te (0.1684, 0.1684, 0.5856)
Te (0.4996, 0.4996, 0.2470)
Te (0.5004, 0.5004, 0.7530)
Te (0.8316, 0.8316, 0.4144)
Te (0.8317, 0.8317, 0.9175)

Values from the calculation:
E	-65.88	eV per formula unit
formation energy without anion corrections	-1326.6	meV per atom



Pm2SmThTe5: relaxed, GGA-PBE.

Cell lengths 5.6023, 5.6023, 11.9301 Å; angles 90.00, 90.00, 90.00 degrees
Element x y z (fractional)
Pm (0.0000, 0.0000, 0.1479)
Pm (0.0000, 0.0000, 0.8521)
Sm (0.5000, 0.5000, 0.0000)
Th (0.5000, 0.5000, 0.5000)
Te (0.0000, 0.0000, 0.5000)
Te (0.0000, 0.5000, 0.0000)
Te (0.5000, 0.0000, 0.0000)
Te (0.5000, 0.5000, 0.2551)
Te (0.5000, 0.5000, 0.7449)

Values from the calculation:
E	-42.81	eV per formula unit
formation energy without anion corrections	-606.4	meV per atom



Pm2Sm3ThTe6: relaxed, GGA-PBE.

Cell lengths 9.9390, 9.9390, 8.9487 Å; angles 102.50, 102.50, 25.82 degrees
Element x y z (fractional)
Pm (0.1648, 0.1648, 0.3301)
Pm (0.8352, 0.8352, 0.6699)
Sm (0.1654, 0.1654, 0.8346)
Sm (0.5000, 0.5000, 0.5000)
Sm (0.8346, 0.8346, 0.1654)
Th (0.5000, 0.5000, 0.0000)
Te (0.0007, 0.0007, 0.7464)
Te (0.3315, 0.3315, 0.9170)
Te (0.3326, 0.3326, 0.4155)
Te (0.6674, 0.6674, 0.5845)
Te (0.6685, 0.6685, 0.0830)
Te (0.9993, 0.9993, 0.2536)

Values from the calculation:
E	-65.79	eV per formula unit
formation energy without anion corrections	-1322.0	meV per atom



- Number 6 is which compound?
  PmSm3Te6



- Which of these has the highest formation energy without anion corrections?
  PmSm2Te



Please write out number 8 again, unchanged.
Pm5SmTe6: relaxed, GGA-PBE.

Cell lengths 7.7493, 7.7493, 7.7173 Å; angles 99.65, 99.65, 120.26 degrees
Element x y z (fractional)
Pm (0.0000, 0.0000, 0.0000)
Pm (0.1669, 0.8331, 0.5000)
Pm (0.3322, 0.6679, 0.0000)
Pm (0.6679, 0.3322, 0.0000)
Pm (0.8331, 0.1669, 0.5000)
Sm (0.5000, 0.5000, 0.5000)
Te (0.0850, 0.4169, 0.2509)
Te (0.2513, 0.2513, 0.7499)
Te (0.4169, 0.0850, 0.2509)
Te (0.5831, 0.9150, 0.7491)
Te (0.7487, 0.7487, 0.2501)
Te (0.9150, 0.5831, 0.7491)

Values from the calculation:
E	-64.19	eV per formula unit
formation energy without anion corrections	-1405.3	meV per atom